CsMgP3 | PBE | relaxed

Results
Fermi-level density of states = 3.169 states/eV/cell
energy relative to the elements = 0.522 eV per atom

```
CsMgP3
1.0
5.075 0.000 0.000
0.000 5.075 0.000
0.000 0.000 5.075
Cs Mg P
1 1 3
direct
0.000 0.000 0.000 Cs
0.500 0.500 0.500 Mg
0.000 0.500 0.500 P
0.500 0.000 0.500 P
0.500 0.500 0.000 P
```



CsGe2BiI8 | PBE | relaxed

Results
Fermi-level density of states = 0.000 states/eV/cell
formation energy (no corrections) = -592.4 kJ/mol of formula units

```
CsGe2BiI8
1.0
7.531 0.000 0.000
2.347 7.972 0.000
2.449 3.022 9.978
Cs Ge Bi I
1 2 1 8
direct
0.000 0.000 0.000 Cs
0.450 0.438 0.221 Ge
0.550 0.562 0.779 Ge
0.000 0.000 0.500 Bi
0.164 0.705 0.749 I
0.259 0.794 0.310 I
0.281 0.230 0.469 I
0.425 0.265 0.045 I
0.575 0.735 0.955 I
0.719 0.770 0.531 I
0.741 0.206 0.690 I
0.836 0.295 0.251 I
```



Y2Si6Pd21 | PBE | relaxed

Results
Fermi-level density of states = 19.612 states/eV/cell
formation energy (no corrections) = -2000.7 kJ/mol of formula units

```
Y2Si6Pd21
1.0
0.000 6.124 6.124
6.124 0.000 6.124
6.124 6.124 0.000
Y Si Pd
2 6 21
direct
0.250 0.250 0.250 Y
0.750 0.750 0.750 Y
0.235 0.235 0.765 Si
0.235 0.765 0.235 Si
0.235 0.765 0.765 Si
0.765 0.235 0.235 Si
0.765 0.235 0.765 Si
0.765 0.765 0.235 Si
0.116 0.116 0.116 Pd
0.116 0.116 0.652 Pd
0.116 0.652 0.116 Pd
0.156 0.500 0.500 Pd
0.156 0.500 0.844 Pd
0.156 0.844 0.500 Pd
0.348 0.884 0.884 Pd
0.500 0.156 0.500 Pd
0.500 0.156 0.844 Pd
0.500 0.500 0.156 Pd
0.500 0.500 0.500 Pd
0.500 0.500 0.844 Pd
0.500 0.844 0.156 Pd
0.500 0.844 0.500 Pd
0.652 0.116 0.116 Pd
0.844 0.156 0.500 Pd
0.844 0.500 0.156 Pd
0.844 0.500 0.500 Pd
0.884 0.348 0.884 Pd
0.884 0.884 0.348 Pd
0.884 0.884 0.884 Pd
```



Tb3Pm12Cd | PBE | relaxed

Results
Fermi-level density of states = 23.234 states/eV/cell
energy relative to the elements = -0.009 eV per atom

```
Tb3Pm12Cd
1.0
5.073 0.000 0.000
0.000 5.073 0.000
0.000 0.000 20.501
Tb Pm Cd
3 12 1
direct
0.000 0.000 0.000 Tb
0.000 0.000 0.253 Tb
0.000 0.000 0.747 Tb
0.000 0.500 0.126 Pm
0.000 0.500 0.379 Pm
0.000 0.500 0.621 Pm
0.000 0.500 0.874 Pm
0.500 0.000 0.126 Pm
0.500 0.000 0.379 Pm
0.500 0.000 0.621 Pm
0.500 0.000 0.874 Pm
0.500 0.500 0.000 Pm
0.500 0.500 0.255 Pm
0.500 0.500 0.500 Pm
0.500 0.500 0.745 Pm
0.000 0.000 0.500 Cd
```



Hf3FeRu2 | PBE | relaxed

Results
Fermi-level density of states = 1.768 states/eV/cell
energy relative to the elements = -0.647 eV per atom

```
Hf3FeRu2
1.0
3.211 0.000 0.000
0.000 3.211 0.000
0.000 0.000 9.649
Hf Fe Ru
3 1 2
direct
0.000 0.000 0.000 Hf
0.000 0.000 0.340 Hf
0.000 0.000 0.660 Hf
0.500 0.500 0.500 Fe
0.500 0.500 0.169 Ru
0.500 0.500 0.831 Ru
```



SmRe3C3 | PBE | relaxed

Results
Fermi-level density of states = 6.545 states/eV/cell
energy relative to the elements = 0.223 eV per atom

```
SmRe3C3
1.0
2.994 1.728 6.689
-2.994 1.728 6.689
0.000 -3.457 6.689
Sm Re C
2 6 6
direct
0.170 0.170 0.170 Sm
0.830 0.830 0.830 Sm
0.084 0.354 0.701 Re
0.299 0.916 0.646 Re
0.354 0.701 0.084 Re
0.646 0.299 0.916 Re
0.701 0.084 0.354 Re
0.916 0.646 0.299 Re
0.029 0.739 0.427 C
0.261 0.573 0.971 C
0.427 0.029 0.739 C
0.573 0.971 0.261 C
0.739 0.427 0.029 C
0.971 0.261 0.573 C
```



Number 1: VASP energy -16.1 eV per cell, volume 26.14 A^3/atom, magnetic moment 0.000 μB/atom. Number 2: VASP energy -32.5 eV per cell, volume 49.92 A^3/atom, magnetic moment 0.000 μB/atom. Number 3: VASP energy -175.3 eV per cell, volume 15.84 A^3/atom, magnetic moment 0.000 μB/atom. Number 4: VASP energy -72.0 eV per cell, volume 32.97 A^3/atom, magnetic moment 0.000 μB/atom. Number 5: VASP energy -60.8 eV per cell, volume 16.58 A^3/atom, magnetic moment 0.040 μB/atom. Number 6: VASP energy -136.3 eV per cell, volume 14.83 A^3/atom, magnetic moment 0.000 μB/atom.